A plane-wave DFT calculation with PBE was carried out for a geometry-optimized InAgSnI4 structure.

a = 7.544 Å, b = 8.679 Å, c = 9.135 Å
α = 90.00°, β = 107.26°, γ = 90.00°
Space group P2_1/m (No. 11)
Inequivalent atoms, fractional coordinates:
1 In 0.191 0.250 0.048 [2 per cell]
2 Ag 0.215 0.750 0.309 [2 per cell]
3 Sn 0.207 0.250 0.553 [2 per cell]
4 I 0.019 0.513 0.735 [4 per cell]
5 I 0.477 0.750 0.139 [2 per cell]
6 I 0.488 0.750 0.607 [2 per cell]

Properties
Crystal system   monoclinic
Calculated total energy   -2.63 eV/atom